VASP calculation (PBE-GGA) on an optimized crystal structure of BaPrPd.

## Properties
Total DFT energy (no corrections) = -4.34 eV per atom
Symmetry = I4mm (107)
DFT formation energy = -0.373 eV per atom

Lattice parameters (Å, degrees): 7.5141 7.5141 7.5141 150.49 150.49 42.23
With the nearest neighbours (Å) after each atom.
Fractional coordinates of all 3 atoms:
Ba 0.0000 0.0000 0.0000  4 Pd 3.51, 1 Pr 3.60, 4 Ba 3.83
Pr 0.2568 0.2568 0.0000  4 Pd 3.03
Pd 0.6599 0.6599 0.0000  4 Pr 3.03

***

VASP calculation (PBE-GGA) on an optimized crystal structure of BaPr3Pd.

## Properties
Total DFT energy (no corrections) = -4.40 eV per atom
Symmetry = Pm-3m (221)
DFT formation energy = -0.108 eV per atom

Lattice parameters (Å, degrees): 5.8460 5.8460 5.8460 90.00 90.00 90.00
With the nearest neighbours (Å) after each atom.
Fractional coordinates of all 5 atoms:
Ba 0.0000 0.0000 0.0000  12 Pr 4.13
Pr 0.0000 0.5000 0.5000  2 Pd 2.92
Pr 0.5000 0.0000 0.5000  2 Pd 2.92
Pr 0.5000 0.5000 0.0000  2 Pd 2.92
Pd 0.5000 0.5000 0.5000  6 Pr 2.92